(1)
The following is a GGA-PBE calculation of a relaxed structure of CsLaHfSe4, from the Alexandria database.

## Properties
- Size of the total moment: 0.0 Bohr magnetons per cell
- Crystal system: monoclinic
- Formation energy without anion corrections: -1.569 eV per atom

a = 7.3295 Å, b = 7.3165 Å, c = 10.0281 Å
α = 90.00°, β = 108.34°, γ = 90.00°
Atoms (fractional coordinates):
Cs 0.2315 0.2500 0.4406
Cs 0.7685 0.7500 0.5594
La 0.2828 0.2500 0.9513
La 0.7172 0.7500 0.0487
Hf 0.2673 0.7500 0.1657
Hf 0.7327 0.2500 0.8343
Se 0.0495 0.7500 0.9207
Se 0.0597 0.7500 0.3214
Se 0.4938 0.5086 0.8006
Se 0.4938 0.9914 0.8006
Se 0.5062 0.0086 0.1994
Se 0.5062 0.4914 0.1994
Se 0.9403 0.2500 0.6786
Se 0.9505 0.2500 0.0793

=====

(2)
The following is a GGA-PBE calculation of a relaxed structure of MgAgRh2N, from the Alexandria database.

## Properties
- Size of the total moment: 0.0 Bohr magnetons per cell
- Crystal system: tetragonal
- Formation energy without anion corrections: -0.098 eV per atom

a = 4.0521 Å, b = 4.0521 Å, c = 4.2960 Å
α = 90.00°, β = 90.00°, γ = 90.00°
Atoms (fractional coordinates):
Mg 0.0000 0.0000 0.0000
Ag 0.5000 0.5000 0.0000
Rh 0.0000 0.5000 0.5000
Rh 0.5000 0.0000 0.5000
N 0.0000 0.0000 0.5000

=====

(3)
The following is a GGA-PBE calculation of a relaxed structure of KAuN2F, from the Alexandria database.

## Properties
- Size of the total moment: 3.2 Bohr magnetons per cell
- Polymorph energy (0 for the lowest one): 0.0 meV per atom
- Crystal system: tetragonal
- Formation energy without anion corrections: 0.469 eV per atom

a = 3.9689 Å, b = 3.9689 Å, c = 6.0060 Å
α = 90.00°, β = 90.00°, γ = 90.00°
Atoms (fractional coordinates):
K 0.0000 0.0000 0.0000
Au 0.5000 0.5000 0.5000
N 0.0000 0.5000 0.5000
N 0.5000 0.0000 0.5000
F 0.5000 0.5000 0.0000